# 1
! KAlCl (GGA-PBE, optimized geometry); values from VASP
&SYSTEM
  ibrav = 0, nat = 3, ntyp = 3
/
ATOMIC_SPECIES
Cl 35.45 Cl.upf
Al 26.98 Al.upf
K 39.10 K.upf
ATOMIC_POSITIONS angstrom
Cl 2.594 1.498 0.649
Al 0.000 0.000 0.648
K 0.000 2.995 2.587
CELL_PARAMETERS angstrom
5.188 0.000 0.000
-2.594 4.493 0.000
0.000 0.000 3.885
! Energy above the most stable polymorph in this dataset ... 0.065 eV/atom
! Space-group type ... P-6m2, No. 187
! DFT total energy ... -2.590 eV per atom
! Energy relative to the elements, uncorrected ... -1.1 eV/f.u.

# 2
! NbAl2Sn (GGA-PBE, optimized geometry); values from VASP
&SYSTEM
  ibrav = 0, nat = 8, ntyp = 3
/
ATOMIC_SPECIES
Al 26.98 Al.upf
Sn 118.71 Sn.upf
Nb 92.91 Nb.upf
ATOMIC_POSITIONS angstrom
Al 1.971 5.746 0.699
Al 5.691 1.915 0.699
Al 9.577 9.521 2.098
Al 5.746 5.801 2.098
Sn 7.661 3.831 1.399
Sn 0.000 0.000 0.000
Nb 3.831 3.831 0.000
Nb 3.831 7.661 1.399
CELL_PARAMETERS angstrom
7.661 0.000 0.000
0.000 7.661 0.000
3.831 3.831 2.797
! Space-group type ... I-42d, No. 122
! DFT total energy ... -5.008 eV per atom